(1)
DFT (PBEsol) results for crystalline InAg3 at its relaxed geometry.

Computed properties:
- Formation enthalpy at 0 K: -0.0575 eV per atom
- Calculated volume: 17.61 Å³/atom
- Total moment: 0.0 μB per formula unit
- E_tot: -3.287 eV per atom
- Mass density: 10.3 g/cm³

Cell: 4.130 4.130 4.130 Å, 90.00 90.00 90.00°
Fractional positions:
Ag 0.000 0.500 0.500
Ag 0.500 0.000 0.500
Ag 0.500 0.500 0.000
In 0.000 0.000 0.000



(2)
DFT (PBEsol) results for crystalline NaIn2Pt2 at its relaxed geometry.

Computed properties:
- Formation enthalpy at 0 K: -0.4532 eV per atom
- Calculated volume: 18.85 Å³/atom
- Total moment: 0.0 μB per formula unit
- E_tot: -4.712 eV per atom
- Mass density: 11.3 g/cm³

Cell: 2.934 8.016 8.016 Å, 90.00 90.00 90.00°
Fractional positions:
Na 0.000 0.000 0.000
Na 0.000 0.500 0.500
Pt 0.000 0.358 0.858
Pt 0.000 0.858 0.642
Pt 0.000 0.642 0.142
Pt 0.000 0.142 0.358
In 0.500 0.155 0.655
In 0.500 0.655 0.845
In 0.500 0.845 0.345
In 0.500 0.345 0.155



(3)
DFT (PBEsol) results for crystalline Y2ScHg at its relaxed geometry.

Computed properties:
- Formation enthalpy at 0 K: -0.2434 eV per atom
- Calculated volume: 25.87 Å³/atom
- Total moment: 0.0 μB per formula unit
- E_tot: -5.447 eV per atom
- Mass density: 6.8 g/cm³

Cell: 3.534 4.847 6.293 Å, 90.00 106.31 90.00°
Fractional positions:
Y 0.089 0.000 0.177
Y 0.419 0.500 0.838
Sc 0.690 0.500 0.381
Hg 0.824 0.000 0.647



(4)
DFT (PBEsol) results for crystalline K2NaMgHg at its relaxed geometry.

Computed properties:
- Formation enthalpy at 0 K: 0.3028 eV per atom
- Calculated volume: 46.71 Å³/atom
- Total moment: 0.0 μB per formula unit
- E_tot: -0.887 eV per atom
- Mass density: 2.3 g/cm³

Cell: 5.519 6.505 6.505 Å, 90.00 90.00 90.00°
Fractional positions:
Mg 0.500 0.500 0.500
Na 0.000 0.000 0.000
K 0.000 0.000 0.500
K 0.000 0.500 0.000
Hg 0.500 0.000 0.000



(5)
DFT (PBEsol) results for crystalline ZrMoCl3 at its relaxed geometry.

Computed properties:
- Calculated volume: 24.57 Å³/atom
- Total moment: 5.4 μB per formula unit
- E_tot: -5.365 eV per atom
- Mass density: 4.0 g/cm³

Cell: 4.971 4.971 4.971 Å, 90.00 90.00 90.00°
Site moments in Bohr magnetons follow the coordinates.
Fractional positions:
Mo 0.500 0.500 0.500  4.34
Zr 0.000 0.000 0.000  -0.07
Cl 0.000 0.500 0.000  0.02
Cl 0.000 0.000 0.500  0.02
Cl 0.500 0.000 0.000  0.02



(6)
DFT (PBEsol) results for crystalline MgZn2Ni at its relaxed geometry.

Computed properties:
- Formation enthalpy at 0 K: -0.1191 eV per atom
- Calculated volume: 13.49 Å³/atom
- Total moment: 0.0 μB per formula unit
- E_tot: -2.879 eV per atom
- Mass density: 6.6 g/cm³

Cell: 4.242 4.242 4.242 Å, 60.00 60.00 60.00°
Fractional positions:
Ni 0.750 0.750 0.750
Zn 0.000 0.000 0.000
Zn 0.250 0.250 0.250
Mg 0.500 0.500 0.500



(7)
DFT (PBEsol) results for crystalline LiAlAg2 at its relaxed geometry.

Computed properties:
- Formation enthalpy at 0 K: -0.2101 eV per atom
- Calculated volume: 15.32 Å³/atom
- Total moment: 0.0 μB per formula unit
- E_tot: -3.380 eV per atom
- Mass density: 6.8 g/cm³

Cell: 3.854 3.854 4.944 Å, 112.94 112.94 90.00°
Fractional positions:
Al 0.500 0.500 0.000
Ag 0.000 0.000 0.000
Ag 0.750 0.250 0.500
Li 0.250 0.750 0.500



(8)
DFT (PBEsol) results for crystalline TlSn at its relaxed geometry.

Computed properties:
- Formation enthalpy at 0 K: 0.0314 eV per atom
- Calculated volume: 27.36 Å³/atom
- Total moment: 0.0 μB per formula unit
- E_tot: -3.413 eV per atom
- Mass density: 9.8 g/cm³

Cell: 3.193 3.193 5.366 Å, 90.00 90.00 90.00°
Fractional positions:
Tl 0.500 0.500 0.500
Sn 0.000 0.000 0.000



(9)
DFT (PBEsol) results for crystalline Ba3NiSb2O9 at its relaxed geometry.

Computed properties:
- Calculated volume: 13.89 Å³/atom
- Total moment: 2.1 μB per formula unit
- E_tot: -6.598 eV per atom
- Mass density: 6.8 g/cm³

Cell: 5.793 5.793 14.340 Å, 90.00 90.00 120.00°
Site moments in Bohr magnetons follow the coordinates.
Fractional positions:
Ba 0.667 0.333 0.912  0.01
Ba 0.333 0.667 0.412  0.01
Ba 0.667 0.333 0.606  0.00
Ba 0.333 0.667 0.106  0.00
Ba 0.000 0.000 0.743  0.00
Ba 0.000 0.000 0.243  0.00
Ni 0.333 0.667 0.652  1.52
Ni 0.667 0.333 0.152  1.52
Sb 0.000 0.000 0.002  0.04
Sb 0.000 0.000 0.502  0.04
Sb 0.333 0.667 0.836  -0.01
Sb 0.667 0.333 0.336  -0.01
O 0.835 0.165 0.415  0.01
O 0.670 0.835 0.915  0.01
O 0.165 0.330 0.915  0.01
O 0.835 0.670 0.415  0.01
O 0.330 0.165 0.415  0.01
O 0.165 0.835 0.915  0.01
O 0.511 0.489 0.252  0.09
O 0.022 0.511 0.752  0.09
O 0.489 0.978 0.752  0.09
O 0.511 0.022 0.252  0.09
O 0.978 0.489 0.252  0.09
O 0.489 0.511 0.752  0.09
O 0.163 0.837 0.577  0.05
O 0.326 0.163 0.077  0.05
O 0.837 0.674 0.077  0.05
O 0.163 0.326 0.577  0.05
O 0.674 0.837 0.577  0.05
O 0.837 0.163 0.077  0.05



(10)
DFT (PBEsol) results for crystalline CsMnF3 at its relaxed geometry.

Computed properties:
- Calculated volume: 16.54 Å³/atom
- Total moment: 5.0 μB per formula unit
- E_tot: -5.807 eV per atom
- Mass density: 4.9 g/cm³

Cell: 6.177 6.177 15.014 Å, 90.00 90.00 120.00°
Site moments in Bohr magnetons follow the coordinates.
Fractional positions:
Cs 0.000 0.000 0.250  0.00
Cs 0.000 0.000 0.750  0.00
Cs 0.333 0.667 0.403  0.00
Cs 0.667 0.333 0.903  0.00
Cs 0.667 0.333 0.597  0.00
Cs 0.333 0.667 0.097  0.00
Mn 0.000 0.000 0.500  4.57
Mn 0.333 0.667 0.848  4.54
Mn 0.667 0.333 0.348  4.54
Mn 0.667 0.333 0.152  4.54
Mn 0.333 0.667 0.652  4.54
Mn 0.000 0.000 0.000  4.57
F 0.835 0.669 0.421  0.06
F 0.835 0.165 0.079  0.06
F 0.331 0.165 0.079  0.06
F 0.835 0.669 0.079  0.06
F 0.165 0.331 0.579  0.06
F 0.669 0.835 0.921  0.06
F 0.958 0.479 0.250  0.07
F 0.479 0.521 0.750  0.07
F 0.479 0.958 0.750  0.07
F 0.521 0.042 0.250  0.07
F 0.521 0.479 0.250  0.07
F 0.042 0.521 0.750  0.07
F 0.331 0.165 0.421  0.06
F 0.165 0.835 0.921  0.06
F 0.165 0.331 0.921  0.06
F 0.669 0.835 0.579  0.06
F 0.835 0.165 0.421  0.06
F 0.165 0.835 0.579  0.06



(11)
DFT (PBEsol) results for crystalline Hg2TeRu at its relaxed geometry.

Computed properties:
- Calculated volume: 21.43 Å³/atom
- Total moment: 0.0 μB per formula unit
- E_tot: -3.370 eV per atom
- Mass density: 12.2 g/cm³

Cell: 3.067 4.330 6.979 Å, 108.07 102.69 90.00°
Fractional positions:
Hg 0.692 0.692 0.385
Hg 0.308 0.308 0.615
Ru 0.000 0.500 0.000
Te 0.500 0.000 0.000



(12)
DFT (PBEsol) results for crystalline MgNiH3 at its relaxed geometry.

Computed properties:
- Calculated volume: 7.23 Å³/atom
- Total moment: 0.0 μB per formula unit
- E_tot: -3.774 eV per atom
- Mass density: 4.0 g/cm³

Cell: 3.306 3.306 3.306 Å, 90.00 90.00 90.00°
Fractional positions:
Ni 0.000 0.000 0.000
Mg 0.500 0.500 0.500
H 0.000 0.500 0.000
H 0.000 0.000 0.500
H 0.500 0.000 0.000



(13)
DFT (PBEsol) results for crystalline BaCa2Cl at its relaxed geometry.

Computed properties:
- Calculated volume: 40.52 Å³/atom
- Total moment: 0.0 μB per formula unit
- E_tot: -2.786 eV per atom
- Mass density: 2.6 g/cm³

Cell: 3.909 7.127 7.127 Å, 59.35 74.08 74.08°
Fractional positions:
Ca 0.984 0.016 0.016
Ca 0.190 0.310 0.310
Ba 0.806 0.694 0.694
Cl 0.520 0.480 0.480



(14)
DFT (PBEsol) results for crystalline CsPdF3 at its relaxed geometry.

Computed properties:
- Calculated volume: 16.00 Å³/atom
- Total moment: 0.0 μB per formula unit
- E_tot: -4.398 eV per atom
- Mass density: 6.2 g/cm³

Cell: 4.309 4.309 4.309 Å, 90.00 90.00 90.00°
Fractional positions:
Cs 0.000 0.000 0.000
Pd 0.500 0.500 0.500
F 0.000 0.500 0.500
F 0.500 0.500 0.000
F 0.500 0.000 0.500



(15)
DFT (PBEsol) results for crystalline Be4FeCo at its relaxed geometry.

Computed properties:
- Formation enthalpy at 0 K: -0.2424 eV per atom
- Calculated volume: 8.23 Å³/atom
- Total moment: 2.7 μB per formula unit
- E_tot: -5.692 eV per atom
- Mass density: 5.1 g/cm³

Cell: 4.118 4.118 4.118 Å, 60.00 60.00 60.00°
Site moments in Bohr magnetons follow the coordinates.
Fractional positions:
Be 0.375 0.375 0.375  -0.03
Be 0.375 0.375 0.876  -0.03
Be 0.876 0.375 0.375  -0.03
Be 0.375 0.876 0.375  -0.03
Co 0.750 0.750 0.750  0.99
Fe 0.000 0.000 0.000  1.86



(16)
DFT (PBEsol) results for crystalline KNaSnF6 at its relaxed geometry.

Computed properties:
- Calculated volume: 16.00 Å³/atom
- Total moment: 0.1 μB per formula unit
- E_tot: -4.779 eV per atom
- Mass density: 3.4 g/cm³

Cell: 5.971 8.138 11.854 Å, 90.00 90.00 90.00°
Fractional positions:
K 0.037 0.756 0.455
K 0.537 0.256 0.045
K 0.463 0.756 0.955
K 0.963 0.256 0.545
Na 0.444 0.502 0.649
Na 0.556 0.002 0.351
Na 0.944 0.002 0.851
Na 0.056 0.502 0.149
Sn 0.449 0.999 0.634
Sn 0.051 0.999 0.134
Sn 0.551 0.499 0.366
Sn 0.949 0.499 0.866
F 0.655 0.269 0.376
F 0.165 0.065 0.708
F 0.779 0.958 0.040
F 0.450 0.732 0.359
F 0.345 0.769 0.624
F 0.550 0.232 0.641
F 0.100 0.450 0.721
F 0.279 0.458 0.460
F 0.714 0.539 0.511
F 0.665 0.565 0.792
F 0.400 0.450 0.221
F 0.900 0.950 0.279
F 0.221 0.458 0.960
F 0.721 0.958 0.540
F 0.214 0.039 0.989
F 0.950 0.232 0.141
F 0.786 0.539 0.011
F 0.835 0.565 0.292
F 0.050 0.732 0.859
F 0.335 0.065 0.208
F 0.286 0.039 0.489
F 0.845 0.269 0.876
F 0.600 0.950 0.779
F 0.155 0.769 0.124



(17)
DFT (PBEsol) results for crystalline TiReSiPd2 at its relaxed geometry.

Computed properties:
- Calculated volume: 20.61 Å³/atom
- Total moment: 0.0 μB per formula unit
- E_tot: -6.663 eV per atom
- Mass density: 7.7 g/cm³

Cell: 4.517 4.777 4.777 Å, 90.00 90.00 90.00°
Fractional positions:
Re 0.000 0.000 0.000
Si 0.500 0.500 0.500
Pd 0.000 0.000 0.500
Pd 0.000 0.500 0.000
Ti 0.500 0.000 0.000



(18)
DFT (PBEsol) results for crystalline NbCr2InMo at its relaxed geometry.

Computed properties:
- Formation enthalpy at 0 K: 1.6198 eV per atom
- Calculated volume: 20.15 Å³/atom
- Total moment: 4.5 μB per formula unit
- E_tot: -7.591 eV per atom
- Mass density: 6.7 g/cm³

Cell: 4.591 4.591 4.779 Å, 90.00 90.00 90.00°
Site moments in Bohr magnetons follow the coordinates.
Fractional positions:
Cr 0.000 0.500 0.000  2.57
Cr 0.500 0.000 0.000  2.57
Mo 0.000 0.000 0.500  -0.59
Nb 0.000 0.000 0.000  -0.37
In 0.500 0.500 0.500  -0.03



(19)
DFT (PBEsol) results for crystalline MnPRu2 at its relaxed geometry.

Computed properties:
- Formation enthalpy at 0 K: -0.2548 eV per atom
- Calculated volume: 11.93 Å³/atom
- Total moment: 0.0 μB per formula unit
- E_tot: -9.229 eV per atom
- Mass density: 10.0 g/cm³

Cell: 2.757 4.116 4.881 Å, 114.94 106.41 90.00°
Fractional positions:
Mn 0.535 0.535 0.070
P 0.243 0.743 0.487
Ru 0.969 0.969 0.938
Ru 0.753 0.253 0.505



(20)
DFT (PBEsol) results for crystalline Zr3Cu at its relaxed geometry.

Computed properties:
- Formation enthalpy at 0 K: -0.0414 eV per atom
- Calculated volume: 19.57 Å³/atom
- Total moment: 0.0 μB per formula unit
- E_tot: -7.942 eV per atom
- Mass density: 7.2 g/cm³

Cell: 3.157 5.161 5.677 Å, 117.04 106.14 90.00°
Fractional positions:
Cu 0.000 0.992 0.000
Zr 0.282 0.922 0.564
Zr 0.500 0.560 0.000
Zr 0.718 0.358 0.436